[1]
An optimized crystal structure of CuTc2. Source: Alexandria, functional PBEsol.

Computed properties:
Density of states at the Fermi level   3.72 states/eV per cell
Total energy   -8.8254 eV per atom
Formation energy from the elements   38 kJ/mol of formula units
Magnetic moment   0.00 μB per cell

Cell lengths 2.682, 3.773, 7.798 Å; angles 90.00, 90.00, 90.00 degrees
Space group Immm (No. 71)
Asymmetric unit:
Cu 0.000 0.000 0.000 (multiplicity 2)
Tc 0.000 0.000 0.335 (multiplicity 4)

=====

[2]
An optimized crystal structure of Ca3Pm. Source: Alexandria, functional PBEsol.

Computed properties:
Density of states at the Fermi level   24.23 states/eV per cell
Total energy   -2.7755 eV per atom
Formation energy from the elements   42 kJ/mol of formula units
Magnetic moment   0.01 μB per cell

Cell lengths 8.407, 8.407, 8.407 Å; angles 90.00, 90.00, 90.00 degrees
Space group Fm-3m (No. 225)
Asymmetric unit:
Ca 0.000 0.000 0.000 (multiplicity 4)
Ca 0.250 0.250 0.250 (multiplicity 8)
Pm 0.000 0.000 0.500 (multiplicity 4)

=====

[3]
An optimized crystal structure of MgSc3. Source: Alexandria, functional PBEsol.

Computed properties:
Density of states at the Fermi level   12.55 states/eV per cell
Total energy   -5.3616 eV per atom
Formation energy from the elements   8 kJ/mol of formula units
Magnetic moment   1.42 μB per cell

Cell lengths 6.4387, 6.4387, 5.1922 Å; angles 90.00, 90.00, 120.00 degrees
Space group P6_3/mmc (No. 194)
Asymmetric unit:
Mg 0.3333 0.6667 0.2500 (multiplicity 2)
Sc 0.1670 0.3341 0.7500 (multiplicity 6)

=====

[4]
An optimized crystal structure of LaCo2Tc. Source: Alexandria, functional PBEsol.

Computed properties:
Density of states at the Fermi level   4.38 states/eV per cell
Total energy   -7.7853 eV per atom
Formation energy from the elements   91 kJ/mol of formula units
Magnetic moment   2.19 μB per cell

Cell lengths 2.996, 2.996, 7.005 Å; angles 90.00, 90.00, 90.00 degrees
Space group P4/mmm (No. 123)
Asymmetric unit:
La 0.000 0.000 0.000 (multiplicity 1)
Co 0.500 0.500 0.316 (multiplicity 2)
Tc 0.000 0.000 0.500 (multiplicity 1)

=====

[5]
An optimized crystal structure of Sc2ReAg. Source: Alexandria, functional PBEsol.

Computed properties:
Density of states at the Fermi level   2.72 states/eV per cell
Total energy   -7.6659 eV per atom
Formation energy from the elements   -78 kJ/mol of formula units
Magnetic moment   0.00 μB per cell

Cell lengths 3.235, 3.235, 6.855 Å; angles 90.00, 90.00, 90.00 degrees
Space group P4/mmm (No. 123)
Asymmetric unit:
Sc 0.000 0.000 0.224 (multiplicity 2)
Re 0.500 0.500 0.000 (multiplicity 1)
Ag 0.500 0.500 0.500 (multiplicity 1)

=====

[6]
An optimized crystal structure of BaTl2Sb. Source: Alexandria, functional PBEsol.

Computed properties:
Density of states at the Fermi level   4.73 states/eV per cell
ΔE_f (raw)   -1.69 eV per formula unit
Total energy   -3.4131 eV per atom
Magnetic moment   0.00 μB per cell

Cell lengths 4.751, 5.071, 10.722 Å; angles 90.00, 90.00, 90.00 degrees
Space group Imm2 (No. 44)
Asymmetric unit:
Ba 0.000 0.000 0.000 (multiplicity 2)
Tl 0.000 0.000 0.432 (multiplicity 2)
Tl 0.000 0.500 0.224 (multiplicity 2)
Sb 0.000 0.500 0.745 (multiplicity 2)

=====

[7]
An optimized crystal structure of ScTaSe2. Source: Alexandria, functional PBEsol.

Computed properties:
Density of states at the Fermi level   10.99 states/eV per cell
ΔE_f (raw)   -2.85 eV per formula unit
Total energy   -7.4262 eV per atom
Magnetic moment   0.00 μB per cell

Cell lengths 3.4199, 3.4199, 21.9330 Å; angles 90.00, 90.00, 120.00 degrees
Space group R-3m (No. 166, hexagonal axes)
Asymmetric unit:
Sc 0.0000 0.0000 0.0000 (multiplicity 3)
Ta 0.0000 0.0000 0.5000 (multiplicity 3)
Se 0.0000 0.0000 0.2473 (multiplicity 6)

=====

[8]
An optimized crystal structure of Al2AsP. Source: Alexandria, functional PBEsol.

Computed properties:
Density of states at the Fermi level   2.51 states/eV per cell
Total energy   -4.6206 eV per atom
Formation energy from the elements   58 kJ/mol of formula units
Magnetic moment   0.00 μB per cell

Cell lengths 3.586, 4.390, 8.713 Å; angles 90.00, 90.00, 90.00 degrees
Space group Cmm2 (No. 35)
Asymmetric unit:
Al 0.000 0.000 0.000 (multiplicity 2)
Al 0.000 0.500 0.242 (multiplicity 2)
As 0.000 0.000 0.466 (multiplicity 2)
P 0.000 0.500 0.802 (multiplicity 2)

=====

[9]
An optimized crystal structure of Ta2ZnSe. Source: Alexandria, functional PBEsol.

Computed properties:
Density of states at the Fermi level   4.00 states/eV per cell
ΔE_f (raw)   0.02 eV per formula unit
Total energy   -7.6278 eV per atom
Magnetic moment   0.00 μB per cell

Cell lengths 3.513, 4.663, 8.960 Å; angles 90.00, 90.00, 90.00 degrees
Space group Cmm2 (No. 35)
Asymmetric unit:
Ta 0.000 0.000 0.000 (multiplicity 2)
Ta 0.000 0.500 0.241 (multiplicity 2)
Zn 0.000 0.000 0.463 (multiplicity 2)
Se 0.000 0.500 0.783 (multiplicity 2)

=====

[10]
An optimized crystal structure of LaMg2Ir2. Source: Alexandria, functional PBEsol.

Computed properties:
Density of states at the Fermi level   4.02 states/eV per cell
Total energy   -6.0850 eV per atom
Formation energy from the elements   -193 kJ/mol of formula units
Magnetic moment   0.00 μB per cell

Cell lengths 4.139, 4.139, 11.813 Å; angles 90.00, 90.00, 90.00 degrees
Space group I4/mmm (No. 139)
Asymmetric unit:
La 0.000 0.000 0.000 (multiplicity 2)
Mg 0.000 0.500 0.250 (multiplicity 4)
Ir 0.000 0.000 0.395 (multiplicity 4)

=====

[11]
An optimized crystal structure of AgAsRu. Source: Alexandria, functional PBEsol.

Computed properties:
Density of states at the Fermi level   12.06 states/eV per cell
Total energy   -5.8398 eV per atom
Formation energy from the elements   103 kJ/mol of formula units
Magnetic moment   0.01 μB per cell

Cell lengths 2.962, 4.771, 13.881 Å; angles 90.00, 90.00, 90.00 degrees
Space group Fmm2 (No. 42)
Asymmetric unit:
Ag 0.000 0.000 0.000 (multiplicity 4)
As 0.000 0.000 0.694 (multiplicity 4)
Ru 0.000 0.000 0.330 (multiplicity 4)

=====

[12]
An optimized crystal structure of BaLiN2F. Source: Alexandria, functional PBEsol.

Computed properties:
Density of states at the Fermi level   5.35 states/eV per cell
ΔE_f (raw)   2.18 eV per formula unit
Total energy   -4.1840 eV per atom
Magnetic moment   2.68 μB per cell

Cell lengths 4.802, 4.802, 4.979 Å; angles 90.00, 90.00, 90.00 degrees
Space group P4/mmm (No. 123)
Asymmetric unit:
Ba 0.000 0.000 0.000 (multiplicity 1)
Li 0.500 0.500 0.500 (multiplicity 1)
N 0.000 0.500 0.000 (multiplicity 2)
F 0.000 0.000 0.500 (multiplicity 1)